Entry 1:
CaMn4IrS8 after structural relaxation. Source: Alexandria, functional PBE.

Unit cell a=7.2960 b=7.2960 c=18.4283 alpha=90.00 beta=90.00 gamma=120.00
Space group R3m (No. 160, hexagonal axes)
One atom of each set of equivalent atoms:
1 Ca 0.0000 0.0000 0.0000 (multiplicity 3)
2 Mn 0.0000 0.0000 0.7353 (multiplicity 3)
3 Mn 0.1672 0.3344 0.1997 (multiplicity 9)
4 Ir 0.0000 0.0000 0.3650 (multiplicity 3)
5 S 0.0000 0.0000 0.1400 (multiplicity 3)
6 S 0.0000 0.0000 0.6020 (multiplicity 3)
7 S 0.0298 0.5149 0.1139 (multiplicity 9)
8 S 0.1916 0.3833 0.9479 (multiplicity 9)

Output
ΔE_f (raw), kJ/mol of formula units: -863
Final energy, eV/atom: -6.393


Entry 2:
NdGaP2O8 after structural relaxation. Source: Alexandria, functional PBE.

Unit cell a=4.9624 b=4.9624 c=6.8352 alpha=90.00 beta=90.00 gamma=120.00
Space group P-3 (No. 147)
One atom of each set of equivalent atoms:
1 Nd 0.0000 0.0000 0.0000 (multiplicity 1)
2 Ga 0.0000 0.0000 0.5000 (multiplicity 1)
3 P 0.3333 0.6667 0.7547 (multiplicity 2)
4 O 0.0895 0.3345 0.6882 (multiplicity 6)
5 O 0.3333 0.6667 0.9805 (multiplicity 2)

Output
ΔE_f (raw), kJ/mol of formula units: -2860
Final energy, eV/atom: -7.327


Entry 3:
SrSc2Zn after structural relaxation. Source: Alexandria, functional PBE.

Unit cell a=5.473 b=5.473 c=19.116 alpha=90.00 beta=90.00 gamma=90.00
Space group I4_1/amd (No. 141, origin choice 2)
One atom of each set of equivalent atoms:
1 Sr 0.000 0.250 0.375 (multiplicity 4)
2 Sc 0.000 0.000 0.000 (multiplicity 8)
3 Zn 0.000 0.250 0.875 (multiplicity 4)

Output
Formation energy, eV/atom: 0.591
Final energy, eV/atom: -3.314


Entry 4:
TaGeBr3 after structural relaxation. Source: Alexandria, functional PBE.

Unit cell a=5.394 b=5.394 c=5.394 alpha=90.00 beta=90.00 gamma=90.00
Space group Pm-3m (No. 221)
One atom of each set of equivalent atoms:
1 Ta 0.000 0.000 0.000 (multiplicity 1)
2 Ge 0.500 0.500 0.500 (multiplicity 1)
3 Br 0.000 0.500 0.500 (multiplicity 3)

Output
ΔE_f (raw), kJ/mol of formula units: 414
Energy above the lowest structure with this stoichiometry, meV/atom: 523.8
Final energy, eV/atom: -3.440